In2IrBr after structural relaxation, computed with PBE-GGA.

## Properties
Relative energy among the computed polymorphs (meV per atom): 553
Symmetry: Fm-3m, No. 225

a = 4.9938 Å, b = 4.9938 Å, c = 4.9938 Å
α = 60.00°, β = 60.00°, γ = 60.00°
Sites, in units of the cell vectors:
Ir 0.5000 0.5000 0.5000
Br 0.0000 0.0000 0.0000
In 0.2500 0.2500 0.2500
In 0.7500 0.7500 0.7500

Tb2ZrAu6 after structural relaxation, computed with PBE-GGA.

## Properties
Formation energy (eV per atom): -0.679
Symmetry: C2/m, No. 12

a = 5.1899 Å, b = 5.1999 Å, c = 8.5017 Å
α = 72.19°, β = 81.17°, γ = 59.85°
Sites, in units of the cell vectors:
Tb 0.5000 0.8342 0.8316
Tb 0.5000 0.1658 0.1684
Zr 0.0000 0.0000 0.5000
Au 0.1654 0.8328 0.1788
Au 0.8346 0.4883 0.1788
Au 0.8346 0.1672 0.8212
Au 0.1654 0.5117 0.8212
Au 0.3310 0.3304 0.5000
Au 0.6690 0.6696 0.5000

Ac2Tb15Ho2 after structural relaxation, computed with PBE-GGA.

## Properties
Formation energy (eV per atom): 0.297
Symmetry: R-3m, No. 166

a = 8.7954 Å, b = 8.7954 Å, c = 8.7954 Å
α = 79.79°, β = 79.79°, γ = 79.79°
Sites, in units of the cell vectors:
Ac 0.1122 0.1122 0.1122
Ac 0.8878 0.8878 0.8878
Tb 0.0000 0.0000 0.5000
Tb 0.5000 0.0000 0.0000
Tb 0.0000 0.5000 0.0000
Tb 0.3072 0.6928 0.0000
Tb 0.0000 0.3072 0.6928
Tb 0.6928 0.0000 0.3072
Tb 0.0000 0.6928 0.3072
Tb 0.3072 0.0000 0.6928
Tb 0.6928 0.3072 0.0000
Tb 0.6268 0.6268 0.1569
Tb 0.1569 0.6268 0.6268
Tb 0.6268 0.1569 0.6268
Tb 0.3732 0.3732 0.8431
Tb 0.8431 0.3732 0.3732
Tb 0.3732 0.8431 0.3732
Ho 0.3292 0.3292 0.3292
Ho 0.6708 0.6708 0.6708

RbTeS2I after structural relaxation, computed with PBE-GGA.

## Properties
Total energy (eV for the cell shown): -15.4
Symmetry: P4/mmm, No. 123

a = 5.2235 Å, b = 6.1768 Å, c = 5.2235 Å
α = 90.00°, β = 90.00°, γ = 90.00°
Sites, in units of the cell vectors:
I 0.0000 0.5000 0.0000
S 0.0000 0.0000 0.5000
S 0.5000 0.0000 0.0000
Te 0.0000 0.0000 0.0000
Rb 0.5000 0.5000 0.5000

Nb6CrRu2 after structural relaxation, computed with PBE-GGA.

## Properties
Formation energy (eV per atom): 0.331
Symmetry: Immm, No. 71

a = 4.3905 Å, b = 6.1276 Å, c = 7.4382 Å
α = 114.32°, β = 107.19°, γ = 90.00°
Sites, in units of the cell vectors:
Nb 0.1621 0.4078 0.3241
Nb 0.8379 0.0837 0.6759
Nb 0.8379 0.5922 0.6759
Nb 0.5000 0.2422 0.0000
Nb 0.1621 0.9163 0.3241
Nb 0.5000 0.7578 0.0000
Cr 0.0000 0.0000 0.0000
Ru 0.6677 0.6678 0.3356
Ru 0.3323 0.3322 0.6644

BaMnPbBr6 after structural relaxation, computed with PBE-GGA.

## Properties
Total energy (eV for the cell shown): -72.1
Symmetry: P-31c, No. 163

a = 7.5862 Å, b = 7.5862 Å, c = 12.9235 Å
α = 90.00°, β = 90.00°, γ = 120.00°
Last column: magnetic moment on the atom in μB.
Sites, in units of the cell vectors:
Ba 0.3333 0.6667 0.2500  0.00
Ba 0.6667 0.3333 0.7500  0.00
Mn 0.6667 0.3333 0.2500  4.39
Mn 0.3333 0.6667 0.7500  4.39
Pb 0.0000 0.0000 0.0000  0.03
Pb 0.0000 0.0000 0.5000  0.03
Br 0.6851 0.6309 0.1263  0.03
Br 0.9459 0.3149 0.1263  0.03
Br 0.3149 0.9459 0.6263  0.03
Br 0.0541 0.6851 0.8737  0.03
Br 0.3691 0.3149 0.3737  0.03
Br 0.9459 0.6309 0.3737  0.03
Br 0.6309 0.9459 0.8737  0.03
Br 0.6851 0.0541 0.3737  0.03
Br 0.0541 0.3691 0.6263  0.03
Br 0.3691 0.0541 0.1263  0.03
Br 0.6309 0.6851 0.6263  0.03
Br 0.3149 0.3691 0.8737  0.03

Q: Which volume values were calculated for the entries above? A: 22.02, 20.99, 34.29, 33.71, 19.17, 35.78, in Å³/atom.
Q: Which DOS at the Fermi energy values were calculated for the entries above? A: 1.1, 3.9, 31.8, 1.4, 8.0, 0.0, in states/eV per cell.